# 1
Here is crystalline Na2MgHg6 at its relaxed geometry from the Alexandria database. Energies are from PBE.

Calculated values
theoretical density	9.49	g cm⁻³
ΔE_f	-0.182	eV/atom

The structure in CIF format:
```
data_Na2MgHg6
_cell_length_a 14.6195
_cell_length_b 11.3110
_cell_length_c 5.4691
_cell_angle_alpha 90.00
_cell_angle_beta 99.70
_cell_angle_gamma 90.00
_space_group_name_H-M_alt 'C 1 2/c 1'
_space_group_IT_number 15
loop_
_space_group_symop_operation_xyz
'x,y,z'
'-x,-y,-z'
'-x,y,-z+1/2'
'x,-y,z+1/2'
'x+1/2,y+1/2,z'
'-x+1/2,-y+1/2,-z'
'-x+1/2,y+1/2,-z+1/2'
'x+1/2,-y+1/2,z+1/2'
loop_
_atom_site_label
_atom_site_type_symbol
_atom_site_fract_x
_atom_site_fract_y
_atom_site_fract_z
Na1 Na 0.1674 0.1232 0.0708
Mg1 Mg 0.0000 0.3698 0.2500
Hg1 Hg 0.0555 0.1306 0.5201
Hg2 Hg 0.1063 0.3845 0.8175
Hg3 Hg 0.2187 0.3718 0.3735
```

=====

# 2
Here is crystalline Tl5Te6As2 at its relaxed geometry from the Alexandria database. Energies are from PBE.

Calculated values
theoretical density	6.71	g cm⁻³
energy relative to the elements, uncorrected	-0.154	eV/atom

The structure in CIF format:
```
data_Tl5Te6As2
_cell_length_a 13.4867
_cell_length_b 13.4891
_cell_length_c 5.2700
_cell_angle_alpha 90.00
_cell_angle_beta 90.00
_cell_angle_gamma 90.00
_space_group_name_H-M_alt 'P b a m'
_space_group_IT_number 55
loop_
_space_group_symop_operation_xyz
'x,y,z'
'-x,-y,-z'
'-x,-y,z'
'x,y,-z'
'x+1/2,-y+1/2,-z'
'-x+1/2,y+1/2,z'
'-x+1/2,y+1/2,-z'
'x+1/2,-y+1/2,z'
loop_
_atom_site_label
_atom_site_type_symbol
_atom_site_fract_x
_atom_site_fract_y
_atom_site_fract_z
Tl1 Tl 0.0000 0.0000 0.0000
Tl2 Tl 0.0400 0.3239 0.0000
Tl3 Tl 0.2491 0.0410 0.0000
Te1 Te 0.0990 0.1610 0.5000
Te2 Te 0.1051 0.5613 0.5000
Te3 Te 0.1858 0.7943 0.0000
As1 As 0.2149 0.7258 0.5000
```

=====

# 3
Here is crystalline NbFe2Te at its relaxed geometry from the Alexandria database. Energies are from PBE.

Calculated values
theoretical density	7.89	g cm⁻³
energy relative to the elements, uncorrected	0.558	eV/atom

The structure in CIF format:
```
data_NbFe2Te
_cell_length_a 4.0539
_cell_length_b 4.0539
_cell_length_c 17.0079
_cell_angle_alpha 90.00
_cell_angle_beta 90.00
_cell_angle_gamma 90.00
_space_group_name_H-M_alt 'I -4 2 d'
_space_group_IT_number 122
_space_group_name_Hall 'I -4 2bw'
loop_
_atom_site_label
_atom_site_type_symbol
_atom_site_fract_x
_atom_site_fract_y
_atom_site_fract_z
Nb1 Nb 0.0000 0.0000 0.0000
Fe1 Fe 0.2466 0.2500 0.1250
Te1 Te 0.0000 0.0000 0.5000
```

=====

no.,V (Å³/cell)
1,891
2,959
3,280